1.
A relaxed structure of PaNbInO6. Source: the Alexandria database, functional PBE.

Unit cell a=5.639 b=5.639 c=9.412 alpha=90.00 beta=90.00 gamma=120.00
Fractional coordinates of all 18 atoms:
1 Pa 0.333 0.667 0.250
2 Pa 0.667 0.333 0.750
3 Nb 0.667 0.333 0.250
4 Nb 0.333 0.667 0.750
5 In 0.000 0.000 0.000
6 In 0.000 0.000 0.500
7 O 0.655 0.635 0.135
8 O 0.980 0.345 0.135
9 O 0.345 0.980 0.635
10 O 0.020 0.655 0.865
11 O 0.365 0.345 0.365
12 O 0.980 0.635 0.365
13 O 0.635 0.980 0.865
14 O 0.655 0.020 0.365
15 O 0.020 0.365 0.635
16 O 0.365 0.020 0.135
17 O 0.635 0.655 0.635
18 O 0.345 0.365 0.865

Results
- space-group type = P-31c (163)
- electronic total energy (eV per atom) = -8.3240
- energy relative to the elements, uncorrected (eV/atom) = -2.540

***

2.
A relaxed structure of Ti4In2O. Source: the Alexandria database, functional PBE.

Unit cell a=2.925 b=4.892 c=9.871 alpha=104.35 beta=90.00 gamma=90.00
Fractional coordinates of all 7 atoms:
1 Ti 0.500 0.575 0.151
2 Ti 0.000 0.700 0.400
3 Ti 0.500 0.425 0.849
4 Ti 0.000 0.300 0.600
5 In 0.500 0.158 0.315
6 In 0.500 0.842 0.685
7 O 0.000 0.500 0.000

Results
- space-group type = Cmmm (65)
- electronic total energy (eV per atom) = -6.5873
- energy relative to the elements, uncorrected (eV/atom) = -0.585

***

3.
A relaxed structure of Tb3Pr7Tl. Source: the Alexandria database, functional PBE.

Unit cell a=8.701 b=7.168 c=7.168 alpha=120.00 beta=90.00 gamma=90.00
Fractional coordinates of all 11 atoms:
1 Tb 0.781 0.501 0.499
2 Tb 0.781 0.501 0.001
3 Tb 0.781 0.999 0.499
4 Pr 0.117 0.169 0.831
5 Pr 0.117 0.169 0.338
6 Pr 0.110 0.667 0.333
7 Pr 0.451 0.831 0.169
8 Pr 0.451 0.337 0.169
9 Pr 0.451 0.831 0.663
10 Pr 0.117 0.662 0.831
11 Tl 0.462 0.333 0.667

Results
- space-group type = P3m1 (156)
- electronic total energy (eV per atom) = -4.3979
- calculated formation energy (meV/atom) = 121